i | ## Tb6HoEr4 (PBE)

Data for Tb6HoEr4 after structural relaxation.

Cell and atoms, written as CIF:
```
data_Tb6HoEr4
_chemical_formula_sum 'Tb12 Ho2 Er8'
_symmetry_space_group_name_H-M 'I -4 2 m'
_symmetry_Int_Tables_number 121
_symmetry_space_group_name_Hall 'I -4 2'
_cell_length_a 6.512
_cell_length_b 6.512
_cell_length_c 16.986
_cell_angle_alpha 90.00
_cell_angle_beta 90.00
_cell_angle_gamma 90.00
loop_
_atom_site_label
_atom_site_type_symbol
_atom_site_fract_x
_atom_site_fract_y
_atom_site_fract_z
Tb1 Tb 0.000 0.500 0.000
Tb2 Tb 0.187 0.187 0.174
Ho1 Ho 0.000 0.000 0.000
Er1 Er 0.180 0.180 0.369
```

***

ii | ## Tb6HoEr4 (PBE)

Data for Tb6HoEr4 after structural relaxation.

Cell and atoms, written as CIF:
```
data_Tb6HoEr4
_chemical_formula_sum 'Tb24 Ho4 Er16'
_symmetry_space_group_name_H-M 'C m c m'
_symmetry_Int_Tables_number 63
_symmetry_space_group_name_Hall '-C 2c 2'
_cell_length_a 5.680
_cell_length_b 9.560
_cell_length_c 25.437
_cell_angle_alpha 90.00
_cell_angle_beta 90.00
_cell_angle_gamma 90.00
loop_
_atom_site_label
_atom_site_type_symbol
_atom_site_fract_x
_atom_site_fract_y
_atom_site_fract_z
Tb1 Tb 0.000 0.000 0.000
Tb2 Tb 0.000 0.032 0.250
Tb3 Tb 0.000 0.305 0.604
Tb4 Tb 0.000 0.365 0.182
Ho1 Ho 0.000 0.303 0.750
Er1 Er 0.000 0.035 0.122
Er2 Er 0.000 0.346 0.043
```

***

Which of them is the least stable? Correct choice: i.

***

i | ## TbHo4Er5 (PBE)

Data for TbHo4Er5 after structural relaxation.

Cell and atoms, written as CIF:
```
data_TbHo4Er5
_chemical_formula_sum 'Tb1 Ho4 Er5'
_symmetry_space_group_name_H-M 'P -1'
_symmetry_Int_Tables_number 2
_cell_length_a 3.518
_cell_length_b 6.625
_cell_length_c 13.903
_cell_angle_alpha 98.21
_cell_angle_beta 92.45
_cell_angle_gamma 104.33
loop_
_symmetry_equiv_pos_as_xyz
'x,y,z'
'-x,-y,-z'
loop_
_atom_site_label
_atom_site_type_symbol
_atom_site_fract_x
_atom_site_fract_y
_atom_site_fract_z
Tb1 Tb 0.000 0.000 0.000
Ho1 Ho 0.127 0.813 0.215
Ho2 Ho 0.176 0.723 0.806
Er1 Er 0.202 0.879 0.584
Er2 Er 0.485 0.424 0.614
Er3 Er 0.500 0.500 0.000
```

***

ii | ## TbHo4Er5 (PBE)

Data for TbHo4Er5 after structural relaxation.

Cell and atoms, written as CIF:
```
data_TbHo4Er5
_chemical_formula_sum 'Tb2 Ho8 Er10'
_symmetry_space_group_name_H-M 'I 4'
_symmetry_Int_Tables_number 79
_cell_length_a 10.086
_cell_length_b 10.086
_cell_length_c 6.235
_cell_angle_alpha 90.00
_cell_angle_beta 90.00
_cell_angle_gamma 90.00
loop_
_symmetry_equiv_pos_as_xyz
'x,y,z'
'-y,x,z'
'-x,-y,z'
'y,-x,z'
'x+1/2,y+1/2,z+1/2'
'-y+1/2,x+1/2,z+1/2'
'-x+1/2,-y+1/2,z+1/2'
'y+1/2,-x+1/2,z+1/2'
loop_
_atom_site_label
_atom_site_type_symbol
_atom_site_fract_x
_atom_site_fract_y
_atom_site_fract_z
Tb1 Tb 0.000 0.000 0.000
Ho1 Ho 0.049 0.347 0.770
Er1 Er 0.000 0.000 0.541
Er2 Er 0.145 0.232 0.272
```

***

Which of them is the least stable? Correct choice: ii.

***

i | ## Tb3Ho4Er8 (PBE)

Data for Tb3Ho4Er8 after structural relaxation.

Cell and atoms, written as CIF:
```
data_Tb3Ho4Er8
_chemical_formula_sum 'Tb6 Ho8 Er16'
_symmetry_space_group_name_H-M 'C 1 2/m 1'
_symmetry_Int_Tables_number 12
_cell_length_a 13.208
_cell_length_b 12.730
_cell_length_c 6.650
_cell_angle_alpha 90.00
_cell_angle_beta 120.17
_cell_angle_gamma 90.00
loop_
_symmetry_equiv_pos_as_xyz
'x,y,z'
'-x,-y,-z'
'-x,y,-z'
'x,-y,z'
'x+1/2,y+1/2,z'
'-x+1/2,-y+1/2,-z'
'-x+1/2,y+1/2,-z'
'x+1/2,-y+1/2,z'
loop_
_atom_site_label
_atom_site_type_symbol
_atom_site_fract_x
_atom_site_fract_y
_atom_site_fract_z
Tb1 Tb 0.000 0.000 0.000
Tb2 Tb 0.250 0.250 0.000
Ho1 Ho 0.000 0.500 0.000
Ho2 Ho 0.000 0.500 0.500
Ho3 Ho 0.250 0.250 0.500
Er1 Er 0.000 0.140 0.500
Er2 Er 0.000 0.248 0.000
Er3 Er 0.233 0.000 0.968
Er4 Er 0.235 0.000 0.491
```

***

ii | ## Tb3Ho4Er8 (PBE)

Data for Tb3Ho4Er8 after structural relaxation.

Cell and atoms, written as CIF:
```
data_Tb3Ho4Er8
_chemical_formula_sum 'Tb9 Ho12 Er24'
_symmetry_space_group_name_H-M 'R -3 m'
_symmetry_Int_Tables_number 166
_symmetry_space_group_name_Hall '-R 3 2"'
_cell_length_a 6.8562
_cell_length_b 6.8562
_cell_length_c 34.8470
_cell_angle_alpha 90.00
_cell_angle_beta 90.00
_cell_angle_gamma 120.00
loop_
_atom_site_label
_atom_site_type_symbol
_atom_site_fract_x
_atom_site_fract_y
_atom_site_fract_z
Tb1 Tb 0.0000 0.5000 0.0000
Ho1 Ho 0.0000 0.0000 0.0000
Ho2 Ho 0.0000 0.0000 0.1636
Ho3 Ho 0.0000 0.0000 0.5000
Er1 Er 0.0000 0.0000 0.2546
Er2 Er 0.0014 0.5007 0.2501
```

***

Which of them is the least stable? Correct choice: i.

***

i | ## Tb3Ho7Er2 (PBE)

Data for Tb3Ho7Er2 after structural relaxation.

Cell and atoms, written as CIF:
```
data_Tb3Ho7Er2
_chemical_formula_sum 'Tb3 Ho7 Er2'
_symmetry_space_group_name_H-M 'P 1 2/m 1'
_symmetry_Int_Tables_number 10
_cell_length_a 6.110
_cell_length_b 5.517
_cell_length_c 11.908
_cell_angle_alpha 90.00
_cell_angle_beta 93.27
_cell_angle_gamma 90.00
loop_
_symmetry_equiv_pos_as_xyz
'x,y,z'
'-x,-y,-z'
'-x,y,-z'
'x,-y,z'
loop_
_atom_site_label
_atom_site_type_symbol
_atom_site_fract_x
_atom_site_fract_y
_atom_site_fract_z
Tb1 Tb 0.000 0.000 0.000
Tb2 Tb 0.455 0.500 0.332
Ho1 Ho 0.058 0.500 0.821
Ho2 Ho 0.267 0.000 0.552
Ho3 Ho 0.409 0.000 0.836
Ho4 Ho 0.500 0.500 0.000
Er1 Er 0.124 0.000 0.282
```

***

ii | ## Tb3Ho7Er2 (PBE)

Data for Tb3Ho7Er2 after structural relaxation.

Cell and atoms, written as CIF:
```
data_Tb3Ho7Er2
_chemical_formula_sum 'Tb6 Ho14 Er4'
_symmetry_space_group_name_H-M 'C m m m'
_symmetry_Int_Tables_number 65
_symmetry_space_group_name_Hall '-C 2 2'
_cell_length_a 5.778
_cell_length_b 37.031
_cell_length_c 3.558
_cell_angle_alpha 90.00
_cell_angle_beta 90.00
_cell_angle_gamma 90.00
loop_
_atom_site_label
_atom_site_type_symbol
_atom_site_fract_x
_atom_site_fract_y
_atom_site_fract_z
Tb1 Tb 0.000 0.000 0.000
Tb2 Tb 0.000 0.150 0.000
Ho1 Ho 0.000 0.073 0.500
Ho2 Ho 0.000 0.230 0.500
Ho3 Ho 0.000 0.410 0.000
Ho4 Ho 0.000 0.500 0.500
Er1 Er 0.000 0.324 0.500
```

***

Which of them is the least stable? Correct choice: i.

***

i | ## Tb12Ho5Er2 (PBE)

Data for Tb12Ho5Er2 after structural relaxation.

Cell and atoms, written as CIF:
```
data_Tb12Ho5Er2
_chemical_formula_sum 'Tb12 Ho5 Er2'
_symmetry_space_group_name_H-M 'P -1'
_symmetry_Int_Tables_number 2
_cell_length_a 6.461
_cell_length_b 8.826
_cell_length_c 11.395
_cell_angle_alpha 109.74
_cell_angle_beta 92.86
_cell_angle_gamma 97.80
loop_
_symmetry_equiv_pos_as_xyz
'x,y,z'
'-x,-y,-z'
loop_
_atom_site_label
_atom_site_type_symbol
_atom_site_fract_x
_atom_site_fract_y
_atom_site_fract_z
Tb1 Tb 0.012 0.390 0.218
Tb2 Tb 0.026 0.198 0.637
Tb3 Tb 0.206 0.172 0.360
Tb4 Tb 0.307 0.011 0.801
Tb5 Tb 0.445 0.657 0.268
Tb6 Tb 0.469 0.260 0.130
Ho1 Ho 0.163 0.873 0.076
Ho2 Ho 0.276 0.599 0.540
Ho3 Ho 0.500 0.000 0.500
Er1 Er 0.236 0.445 0.961
```

***

ii | ## Tb12Ho5Er2 (PBE)

Data for Tb12Ho5Er2 after structural relaxation.

Cell and atoms, written as CIF:
```
data_Tb12Ho5Er2
_chemical_formula_sum 'Tb24 Ho10 Er4'
_symmetry_space_group_name_H-M 'C 1 2/m 1'
_symmetry_Int_Tables_number 12
_cell_length_a 15.645
_cell_length_b 9.150
_cell_length_c 8.515
_cell_angle_alpha 90.00
_cell_angle_beta 91.34
_cell_angle_gamma 90.00
loop_
_symmetry_equiv_pos_as_xyz
'x,y,z'
'-x,-y,-z'
'-x,y,-z'
'x,-y,z'
'x+1/2,y+1/2,z'
'-x+1/2,-y+1/2,-z'
'-x+1/2,y+1/2,-z'
'x+1/2,-y+1/2,z'
loop_
_atom_site_label
_atom_site_type_symbol
_atom_site_fract_x
_atom_site_fract_y
_atom_site_fract_z
Tb1 Tb 0.059 0.000 0.337
Tb2 Tb 0.088 0.500 0.883
Tb3 Tb 0.127 0.194 0.667
Tb4 Tb 0.153 0.318 0.240
Ho1 Ho 0.000 0.500 0.500
Ho2 Ho 0.200 0.000 0.016
Ho3 Ho 0.231 0.500 0.571
Er1 Er 0.000 0.175 0.000
```

***

Which of them is the least stable? Correct choice: ii.